Entry 1:
A plane-wave DFT calculation with PBE-GGA was carried out for a relaxed structure of Ca2ZnCd.

Cell lengths 7.5342, 7.5773, 3.7387 Å; angles 90.00, 90.00, 90.00 degrees
Space group Cmmm (No. 65)
Unique sites:
Ca 0.2500 0.2500 0.0000 (multiplicity 4)
Zn 0.0000 0.0000 0.5000 (multiplicity 2)
Cd 0.0000 0.5000 0.5000 (multiplicity 2)



Entry 2:
A plane-wave DFT calculation with PBE-GGA was carried out for a relaxed structure of Ca4Zn3Cd.

Cell lengths 3.6893, 5.2902, 10.5600 Å; angles 90.00, 90.00, 90.00 degrees
Space group Pmmm (No. 47)
Unique sites:
Ca 0.0000 0.0000 0.0000 (multiplicity 1)
Ca 0.0000 0.0000 0.5000 (multiplicity 1)
Ca 0.0000 0.5000 0.2425 (multiplicity 2)
Zn 0.5000 0.0000 0.2504 (multiplicity 2)
Zn 0.5000 0.5000 0.0000 (multiplicity 1)
Cd 0.5000 0.5000 0.5000 (multiplicity 1)



Number 1: ΔH_f (0 K) -0.283 eV per atom, raw total energy -14.65 eV for the cell shown, size of the total moment 0.00 μB/cell. Number 2: ΔH_f (0 K) -0.258 eV per atom, raw total energy -14.80 eV for the cell shown, size of the total moment 0.00 μB/cell.